[1]
# TaCdW2

TaCdW2 after structural relaxation (GGA-PBE, Alexandria via LeMat-Bulk).

Calculated values
energy of formation	483	meV per atom
spin magnetization	0.000	μB/f.u.
crystal system	tetragonal

a = 4.293 Å, b = 4.293 Å, c = 7.567 Å
α = 90.00°, β = 90.00°, γ = 90.00°
Space group I-4m2 (No. 119)
One atom of each set of equivalent atoms:
Ta1 0.000 0.000 0.000 (multiplicity 2)
Cd1 0.000 0.500 0.250 (multiplicity 2)
W1 0.000 0.000 0.500 (multiplicity 2)
W2 0.000 0.500 0.750 (multiplicity 2)

=====

[2]
# Ta2CdW

Ta2CdW after structural relaxation (GGA-PBE, Alexandria via LeMat-Bulk).

Calculated values
energy of formation	296	meV per atom
spin magnetization	0.000	μB/f.u.
crystal system	tetragonal

a = 3.365 Å, b = 3.365 Å, c = 6.451 Å
α = 90.00°, β = 90.00°, γ = 90.00°
Space group P4mm (No. 99)
One atom of each set of equivalent atoms:
Ta1 0.000 0.000 0.000 (multiplicity 1)
Ta2 0.500 0.500 0.236 (multiplicity 1)
Cd1 0.500 0.500 0.723 (multiplicity 1)
W1 0.000 0.000 0.454 (multiplicity 1)

=====

[3]
# TaCdW2

TaCdW2 after structural relaxation (GGA-PBE, Alexandria via LeMat-Bulk).

Calculated values
energy of formation	434	meV per atom
spin magnetization	0.000	μB/f.u.
crystal system	tetragonal

a = 2.738 Å, b = 2.738 Å, c = 9.449 Å
α = 90.00°, β = 90.00°, γ = 90.00°
Space group P4mm (No. 99)
One atom of each set of equivalent atoms:
Ta1 0.000 0.000 0.000 (multiplicity 1)
Cd1 0.500 0.500 0.740 (multiplicity 1)
W1 0.000 0.000 0.487 (multiplicity 1)
W2 0.500 0.500 0.245 (multiplicity 1)

=====

[4]
# TaCd2W

TaCd2W after structural relaxation (GGA-PBE, Alexandria via LeMat-Bulk).

Calculated values
energy above the most stable polymorph in this dataset	219	meV/atom
energy of formation	462	meV per atom
spin magnetization	0.000	μB/f.u.
crystal system	tetragonal

a = 3.979 Å, b = 3.979 Å, c = 4.645 Å
α = 90.00°, β = 90.00°, γ = 90.00°
Space group P4/mmm (No. 123)
One atom of each set of equivalent atoms:
Ta1 0.000 0.000 0.000 (multiplicity 1)
Cd1 0.000 0.500 0.500 (multiplicity 2)
W1 0.500 0.500 0.000 (multiplicity 1)

=====

Copy entry 1 word for word.
# TaCdW2

TaCdW2 after structural relaxation (GGA-PBE, Alexandria via LeMat-Bulk).

Calculated values
energy of formation	483	meV per atom
spin magnetization	0.000	μB/f.u.
crystal system	tetragonal

a = 4.293 Å, b = 4.293 Å, c = 7.567 Å
α = 90.00°, β = 90.00°, γ = 90.00°
Space group I-4m2 (No. 119)
One atom of each set of equivalent atoms:
Ta1 0.000 0.000 0.000 (multiplicity 2)
Cd1 0.000 0.500 0.250 (multiplicity 2)
W1 0.000 0.000 0.500 (multiplicity 2)
W2 0.000 0.500 0.750 (multiplicity 2)

=====

Copy entry 1 word for word.
# TaCdW2

TaCdW2 after structural relaxation (GGA-PBE, Alexandria via LeMat-Bulk).

Calculated values
energy of formation	483	meV per atom
spin magnetization	0.000	μB/f.u.
crystal system	tetragonal

a = 4.293 Å, b = 4.293 Å, c = 7.567 Å
α = 90.00°, β = 90.00°, γ = 90.00°
Space group I-4m2 (No. 119)
One atom of each set of equivalent atoms:
Ta1 0.000 0.000 0.000 (multiplicity 2)
Cd1 0.000 0.500 0.250 (multiplicity 2)
W1 0.000 0.000 0.500 (multiplicity 2)
W2 0.000 0.500 0.750 (multiplicity 2)

=====

Look up the spin magnetization of the fourth one.
0.000 μB/f.u.

=====

Which value of energy of formation does entry 1 give?
483 meV per atom